ZrZn2BiN at its PBEsol-relaxed geometry. Source: Alexandria, functional SCAN.

Lattice parameters (Å, degrees): 4.134 4.134 5.157 90.00 90.00 90.00
Positions (direct):
Zr: 0.000 0.000 0.000
Zn: 0.000 0.500 0.500
Zn: 0.500 0.000 0.500
Bi: 0.500 0.500 0.000
N: 0.500 0.500 0.500

Results
The value obtained for the magnetization is 0.00 μB/cell. The energy comes out at -28.6645 eV per atom. The calculation puts the raw formation energy at 0.46 eV per atom. The space group is P4/mmm (123).